# 1
# KZrPt4 GGA-PBE relaxed
# Formation energy from the elements: -0.3929 eV/atom
# Energy: -6.028 eV/atom
# Total moment: 0.0 Bohr magnetons per cell
# Space group: F-43m, No. 216
data_KZrPt4
_chemical_formula_sum 'K1 Zr1 Pt4'
_cell_length_a 5.4084
_cell_length_b 5.4084
_cell_length_c 5.4084
_cell_angle_alpha 60.00
_cell_angle_beta 60.00
_cell_angle_gamma 60.00
_space_group_name_H-M_alt 'P 1'
_space_group_IT_number 1
loop_
_space_group_symop_operation_xyz
'x,y,z'
loop_
_atom_site_label
_atom_site_type_symbol
_atom_site_fract_x
_atom_site_fract_y
_atom_site_fract_z
K1 K 0.0000 0.0000 0.0000
Zr1 Zr 0.2500 0.2500 0.2500
Pt1 Pt 0.1250 0.6250 0.6250
Pt2 Pt 0.6250 0.1250 0.6250
Pt3 Pt 0.6250 0.6250 0.1250
Pt4 Pt 0.6250 0.6250 0.6250

***

# 2
# Er2ThIn3Te6 GGA-PBE relaxed
# Uncorrected formation energy: -876 meV per atom
# Energy: -4.510 eV/atom
# Total moment: 0.0 Bohr magnetons per cell
# Space group: C2/m, No. 12
data_Er2ThIn3Te6
_chemical_formula_sum 'Er2 Th1 In3 Te6'
_cell_length_a 7.5661
_cell_length_b 7.5661
_cell_length_c 8.6278
_cell_angle_alpha 98.41
_cell_angle_beta 98.41
_cell_angle_gamma 119.99
_space_group_name_H-M_alt 'P 1'
_space_group_IT_number 1
loop_
_space_group_symop_operation_xyz
'x,y,z'
loop_
_atom_site_label
_atom_site_type_symbol
_atom_site_fract_x
_atom_site_fract_y
_atom_site_fract_z
Er1 Er 0.1669 0.8331 0.0000
Er2 Er 0.8331 0.1669 0.0000
Th1 Th 0.5000 0.5000 0.0000
In1 In 0.0000 0.0000 0.5000
In2 In 0.3348 0.6652 0.5000
In3 In 0.6652 0.3348 0.5000
Te1 Te 0.0865 0.4257 0.7777
Te2 Te 0.2340 0.2340 0.2206
Te3 Te 0.4257 0.0865 0.7777
Te4 Te 0.5743 0.9135 0.2223
Te5 Te 0.7660 0.7660 0.7794
Te6 Te 0.9135 0.5743 0.2223

***

# 3
# Ta3NbCr8 GGA-PBE relaxed
# Formation energy from the elements: -0.1051 eV/atom
# Energy: -10.323 eV/atom
# Total moment: 0.0 Bohr magnetons per cell
# Space group: P3m1, No. 156
data_Ta3NbCr8
_chemical_formula_sum 'Ta3 Nb1 Cr8'
_cell_length_a 4.8983
_cell_length_b 4.8983
_cell_length_c 8.0528
_cell_angle_alpha 90.00
_cell_angle_beta 90.00
_cell_angle_gamma 120.00
_space_group_name_H-M_alt 'P 1'
_space_group_IT_number 1
loop_
_space_group_symop_operation_xyz
'x,y,z'
loop_
_atom_site_label
_atom_site_type_symbol
_atom_site_fract_x
_atom_site_fract_y
_atom_site_fract_z
Ta1 Ta 0.0000 0.0000 0.0000
Ta2 Ta 0.0000 0.0000 0.3797
Ta3 Ta 0.3333 0.6667 0.8804
Nb1 Nb 0.3333 0.6667 0.4997
Cr1 Cr 0.0058 0.5029 0.1894
Cr2 Cr 0.3271 0.1635 0.6903
Cr3 Cr 0.4971 0.5029 0.1894
Cr4 Cr 0.4971 0.9942 0.1894
Cr5 Cr 0.6667 0.3333 0.4401
Cr6 Cr 0.6667 0.3333 0.9393
Cr7 Cr 0.8365 0.1635 0.6903
Cr8 Cr 0.8365 0.6729 0.6903

***

# 4
# DyMg2In GGA-PBE relaxed
# Excess energy over the best structure of this formula in the dataset: 58 meV per atom
# Formation energy from the elements: -0.2206 eV/atom
# Energy: -2.853 eV/atom
# Total moment: 0.0 Bohr magnetons per cell
# Space group: I-4m2, No. 119
data_DyMg2In
_chemical_formula_sum 'Dy2 Mg4 In2'
_cell_length_a 5.1623
_cell_length_b 5.1623
_cell_length_c 7.2881
_cell_angle_alpha 90.00
_cell_angle_beta 90.00
_cell_angle_gamma 90.00
_space_group_name_H-M_alt 'P 1'
_space_group_IT_number 1
loop_
_space_group_symop_operation_xyz
'x,y,z'
loop_
_atom_site_label
_atom_site_type_symbol
_atom_site_fract_x
_atom_site_fract_y
_atom_site_fract_z
Dy1 Dy 0.0000 0.0000 0.0000
Dy2 Dy 0.5000 0.5000 0.5000
Mg1 Mg 0.0000 0.0000 0.5000
Mg2 Mg 0.0000 0.5000 0.2500
Mg3 Mg 0.5000 0.0000 0.7500
Mg4 Mg 0.5000 0.5000 0.0000
In1 In 0.0000 0.5000 0.7500
In2 In 0.5000 0.0000 0.2500

***

# 5
# Sr2ScPb GGA-PBE relaxed
# Formation energy from the elements: -0.0546 eV/atom
# Energy: -3.405 eV/atom
# Total moment: 0.0 Bohr magnetons per cell
# Space group: I4/mmm, No. 139
data_Sr2ScPb
_chemical_formula_sum 'Sr4 Sc2 Pb2'
_cell_length_a 4.9702
_cell_length_b 4.9702
_cell_length_c 10.8087
_cell_angle_alpha 90.00
_cell_angle_beta 90.00
_cell_angle_gamma 90.00
_space_group_name_H-M_alt 'P 1'
_space_group_IT_number 1
loop_
_space_group_symop_operation_xyz
'x,y,z'
loop_
_atom_site_label
_atom_site_type_symbol
_atom_site_fract_x
_atom_site_fract_y
_atom_site_fract_z
Sr1 Sr 0.0000 0.5000 0.2500
Sr2 Sr 0.0000 0.5000 0.7500
Sr3 Sr 0.5000 0.0000 0.2500
Sr4 Sr 0.5000 0.0000 0.7500
Sc1 Sc 0.0000 0.0000 0.0000
Sc2 Sc 0.5000 0.5000 0.5000
Pb1 Pb 0.0000 0.0000 0.5000
Pb2 Pb 0.5000 0.5000 0.0000

***

# 6
# PaAl2Pb3O9 GGA-PBE relaxed
# Uncorrected formation energy: -2195 meV per atom
# Energy: -7.043 eV/atom
# Total moment: 0.0 Bohr magnetons per cell
# Space group: P-3m1, No. 164
data_PaAl2Pb3O9
_chemical_formula_sum 'Pa1 Al2 Pb3 O9'
_cell_length_a 5.6349
_cell_length_b 5.6349
_cell_length_c 7.1608
_cell_angle_alpha 90.00
_cell_angle_beta 90.00
_cell_angle_gamma 120.00
_space_group_name_H-M_alt 'P 1'
_space_group_IT_number 1
loop_
_space_group_symop_operation_xyz
'x,y,z'
loop_
_atom_site_label
_atom_site_type_symbol
_atom_site_fract_x
_atom_site_fract_y
_atom_site_fract_z
Pa1 Pa 0.0000 0.0000 0.0000
Al1 Al 0.3333 0.6667 0.6609
Al2 Al 0.6667 0.3333 0.3391
Pb1 Pb 0.0000 0.0000 0.5000
Pb2 Pb 0.3333 0.6667 0.2297
Pb3 Pb 0.6667 0.3333 0.7703
O1 O 0.0000 0.5000 0.5000
O2 O 0.1734 0.3469 0.8116
O3 O 0.1734 0.8266 0.8116
O4 O 0.3469 0.1734 0.1884
O5 O 0.5000 0.0000 0.5000
O6 O 0.5000 0.5000 0.5000
O7 O 0.6531 0.8266 0.8116
O8 O 0.8266 0.1734 0.1884
O9 O 0.8266 0.6531 0.1884

***

# 7
# HfGaCoCu GGA-PBE relaxed
# Formation energy from the elements: -0.3181 eV/atom
# Energy: -6.364 eV/atom
# Total moment: 0.0 Bohr magnetons per cell
# Space group: F-43m, No. 216
data_HfGaCoCu
_chemical_formula_sum 'Hf4 Ga4 Co4 Cu4'
_cell_length_a 6.1179
_cell_length_b 6.1179
_cell_length_c 6.1179
_cell_angle_alpha 90.00
_cell_angle_beta 90.00
_cell_angle_gamma 90.00
_space_group_name_H-M_alt 'P 1'
_space_group_IT_number 1
loop_
_space_group_symop_operation_xyz
'x,y,z'
loop_
_atom_site_label
_atom_site_type_symbol
_atom_site_fract_x
_atom_site_fract_y
_atom_site_fract_z
Hf1 Hf 0.0000 0.0000 0.0000
Hf2 Hf 0.0000 0.5000 0.5000
Hf3 Hf 0.5000 0.0000 0.5000
Hf4 Hf 0.5000 0.5000 0.0000
Ga1 Ga 0.0000 0.0000 0.5000
Ga2 Ga 0.0000 0.5000 0.0000
Ga3 Ga 0.5000 0.0000 0.0000
Ga4 Ga 0.5000 0.5000 0.5000
Co1 Co 0.2500 0.2500 0.7500
Co2 Co 0.2500 0.7500 0.2500
Co3 Co 0.7500 0.2500 0.2500
Co4 Co 0.7500 0.7500 0.7500
Cu1 Cu 0.2500 0.2500 0.2500
Cu2 Cu 0.2500 0.7500 0.7500
Cu3 Cu 0.7500 0.2500 0.7500
Cu4 Cu 0.7500 0.7500 0.2500

***

# 8
# Pu2InNi4Sb3 GGA-PBE relaxed
# Uncorrected formation energy: -388 meV per atom
# Energy: -7.077 eV/atom
# Total moment: 10.8 Bohr magnetons per cell
# Space group: P-4m2, No. 115
data_Pu2InNi4Sb3
_chemical_formula_sum 'Pu2 In1 Ni4 Sb3'
_cell_length_a 4.3813
_cell_length_b 4.3813
_cell_length_c 10.2166
_cell_angle_alpha 90.00
_cell_angle_beta 90.00
_cell_angle_gamma 90.00
_space_group_name_H-M_alt 'P 1'
_space_group_IT_number 1
loop_
_space_group_symop_operation_xyz
'x,y,z'
loop_
_atom_site_label
_atom_site_type_symbol
_atom_site_fract_x
_atom_site_fract_y
_atom_site_fract_z
Pu1 Pu 0.0000 0.5000 0.2371
Pu2 Pu 0.5000 0.0000 0.7629
In1 In 0.0000 0.0000 0.5000
Ni1 Ni 0.0000 0.0000 0.0000
Ni2 Ni 0.0000 0.5000 0.6310
Ni3 Ni 0.5000 0.0000 0.3690
Ni4 Ni 0.5000 0.5000 0.0000
Sb1 Sb 0.0000 0.5000 0.8711
Sb2 Sb 0.5000 0.0000 0.1289
Sb3 Sb 0.5000 0.5000 0.5000

***

# 9
# KYMn2Co GGA-PBE relaxed
# Formation energy from the elements: 2.5314 eV/atom
# Energy: -4.070 eV/atom
# Total moment: 1.4 Bohr magnetons per cell
# Space group: P4/mmm, No. 123
data_KYMn2Co
_chemical_formula_sum 'K1 Y1 Mn2 Co1'
_cell_length_a 4.2295
_cell_length_b 4.2295
_cell_length_c 5.0048
_cell_angle_alpha 90.00
_cell_angle_beta 90.00
_cell_angle_gamma 90.00
_space_group_name_H-M_alt 'P 1'
_space_group_IT_number 1
loop_
_space_group_symop_operation_xyz
'x,y,z'
loop_
_atom_site_label
_atom_site_type_symbol
_atom_site_fract_x
_atom_site_fract_y
_atom_site_fract_z
K1 K 0.0000 0.0000 0.0000
Y1 Y 0.0000 0.0000 0.5000
Mn1 Mn 0.0000 0.5000 0.0000
Mn2 Mn 0.5000 0.0000 0.0000
Co1 Co 0.5000 0.5000 0.5000

***

# 10
# Mg4P GGA-PBE relaxed
# Excess energy over the best structure of this formula in the dataset: 65 meV per atom
# Formation energy from the elements: -0.0177 eV/atom
# Energy: -2.375 eV/atom
# Total moment: 0.0 Bohr magnetons per cell
# Space group: Pm-3m, No. 221
data_Mg4P
_chemical_formula_sum 'Mg4 P1'
_cell_length_a 4.9610
_cell_length_b 4.9610
_cell_length_c 4.9610
_cell_angle_alpha 90.00
_cell_angle_beta 90.00
_cell_angle_gamma 90.00
_space_group_name_H-M_alt 'P 1'
_space_group_IT_number 1
loop_
_space_group_symop_operation_xyz
'x,y,z'
loop_
_atom_site_label
_atom_site_type_symbol
_atom_site_fract_x
_atom_site_fract_y
_atom_site_fract_z
Mg1 Mg 0.0000 0.0000 0.0000
Mg2 Mg 0.0000 0.5000 0.5000
Mg3 Mg 0.5000 0.0000 0.5000
Mg4 Mg 0.5000 0.5000 0.0000
P1 P 0.5000 0.5000 0.5000

***

# 11
# Mn5Ag3Cl12 GGA-PBE relaxed
# Uncorrected formation energy: -564 meV per atom
# Energy: -4.392 eV/atom
# Total moment: 64.0 Bohr magnetons per cell
# Space group: Ia-3d, No. 230
data_Mn5Ag3Cl12
_chemical_formula_sum 'Mn20 Ag12 Cl48'
_cell_length_a 13.2705
_cell_length_b 13.2705
_cell_length_c 13.2705
_cell_angle_alpha 109.47
_cell_angle_beta 109.47
_cell_angle_gamma 109.47
_space_group_name_H-M_alt 'P 1'
_space_group_IT_number 1
loop_
_space_group_symop_operation_xyz
'x,y,z'
loop_
_atom_site_label
_atom_site_type_symbol
_atom_site_fract_x
_atom_site_fract_y
_atom_site_fract_z
Mn1 Mn 0.0000 0.0000 0.0000
Mn2 Mn 0.0000 0.0000 0.5000
Mn3 Mn 0.0000 0.5000 0.0000
Mn4 Mn 0.0000 0.5000 0.5000
Mn5 Mn 0.1250 0.7500 0.8750
Mn6 Mn 0.1250 0.8750 0.2500
Mn7 Mn 0.2500 0.1250 0.8750
Mn8 Mn 0.2500 0.6250 0.3750
Mn9 Mn 0.3750 0.2500 0.6250
Mn10 Mn 0.3750 0.6250 0.7500
Mn11 Mn 0.5000 0.0000 0.0000
Mn12 Mn 0.5000 0.0000 0.5000
Mn13 Mn 0.5000 0.5000 0.0000
Mn14 Mn 0.5000 0.5000 0.5000
Mn15 Mn 0.6250 0.3750 0.2500
Mn16 Mn 0.6250 0.7500 0.3750
Mn17 Mn 0.7500 0.3750 0.6250
Mn18 Mn 0.7500 0.8750 0.1250
Mn19 Mn 0.8750 0.1250 0.7500
Mn20 Mn 0.8750 0.2500 0.1250
Ag1 Ag 0.1250 0.2500 0.3750
Ag2 Ag 0.1250 0.3750 0.7500
Ag3 Ag 0.2500 0.3750 0.1250
Ag4 Ag 0.2500 0.8750 0.6250
Ag5 Ag 0.3750 0.1250 0.2500
Ag6 Ag 0.3750 0.7500 0.1250
Ag7 Ag 0.6250 0.2500 0.8750
Ag8 Ag 0.6250 0.8750 0.7500
Ag9 Ag 0.7500 0.1250 0.3750
Ag10 Ag 0.7500 0.6250 0.8750
Ag11 Ag 0.8750 0.6250 0.2500
Ag12 Ag 0.8750 0.7500 0.6250
Cl1 Cl 0.0260 0.1984 0.1153
Cl2 Cl 0.0260 0.3276 0.9108
Cl3 Cl 0.0832 0.6984 0.6724
Cl4 Cl 0.0832 0.8847 0.4108
Cl5 Cl 0.0892 0.6153 0.4168
Cl6 Cl 0.0892 0.9740 0.6724
Cl7 Cl 0.1153 0.0260 0.1984
Cl8 Cl 0.1153 0.5892 0.9168
Cl9 Cl 0.1724 0.1984 0.5832
Cl10 Cl 0.1724 0.4740 0.5892
Cl11 Cl 0.1984 0.1153 0.0260
Cl12 Cl 0.1984 0.5832 0.1724
Cl13 Cl 0.3016 0.3276 0.9168
Cl14 Cl 0.3016 0.4740 0.3847
Cl15 Cl 0.3276 0.9108 0.0260
Cl16 Cl 0.3276 0.9168 0.3016
Cl17 Cl 0.3847 0.3016 0.4740
Cl18 Cl 0.3847 0.5832 0.9108
Cl19 Cl 0.4108 0.0832 0.8847
Cl20 Cl 0.4108 0.8276 0.5260
Cl21 Cl 0.4168 0.0892 0.6153
Cl22 Cl 0.4168 0.8276 0.8016
Cl23 Cl 0.4740 0.3847 0.3016
Cl24 Cl 0.4740 0.5892 0.1724
Cl25 Cl 0.5260 0.4108 0.8276
Cl26 Cl 0.5260 0.6153 0.6984
Cl27 Cl 0.5832 0.1724 0.1984
Cl28 Cl 0.5832 0.9108 0.3847
Cl29 Cl 0.5892 0.1724 0.4740
Cl30 Cl 0.5892 0.9168 0.1153
Cl31 Cl 0.6153 0.4168 0.0892
Cl32 Cl 0.6153 0.6984 0.5260
Cl33 Cl 0.6724 0.0832 0.6984
Cl34 Cl 0.6724 0.0892 0.9740
Cl35 Cl 0.6984 0.5260 0.6153
Cl36 Cl 0.6984 0.6724 0.0832
Cl37 Cl 0.8016 0.4168 0.8276
Cl38 Cl 0.8016 0.8847 0.9740
Cl39 Cl 0.8276 0.5260 0.4108
Cl40 Cl 0.8276 0.8016 0.4168
Cl41 Cl 0.8847 0.4108 0.0832
Cl42 Cl 0.8847 0.9740 0.8016
Cl43 Cl 0.9108 0.0260 0.3276
Cl44 Cl 0.9108 0.3847 0.5832
Cl45 Cl 0.9168 0.1153 0.5892
Cl46 Cl 0.9168 0.3016 0.3276
Cl47 Cl 0.9740 0.6724 0.0892
Cl48 Cl 0.9740 0.8016 0.8847

***

# 12
# K4Ce3S8 GGA-PBE relaxed
# Uncorrected formation energy: -1587 meV per atom
# Energy: -5.268 eV/atom
# Total moment: 0.0 Bohr magnetons per cell
# Space group: R-3m, No. 166
data_K4Ce3S8
_chemical_formula_sum 'K4 Ce3 S8'
_cell_length_a 9.1711
_cell_length_b 9.1711
_cell_length_c 9.1711
_cell_angle_alpha 54.47
_cell_angle_beta 54.47
_cell_angle_gamma 54.47
_space_group_name_H-M_alt 'P 1'
_space_group_IT_number 1
loop_
_space_group_symop_operation_xyz
'x,y,z'
loop_
_atom_site_label
_atom_site_type_symbol
_atom_site_fract_x
_atom_site_fract_y
_atom_site_fract_z
K1 K 0.0000 0.0000 0.0000
K2 K 0.1433 0.1433 0.1433
K3 K 0.5000 0.5000 0.5000
K4 K 0.8567 0.8567 0.8567
Ce1 Ce 0.0000 0.5000 0.5000
Ce2 Ce 0.5000 0.0000 0.5000
Ce3 Ce 0.5000 0.5000 0.0000
S1 S 0.2474 0.2474 0.6949
S2 S 0.2474 0.6949 0.2474
S3 S 0.2740 0.2740 0.2740
S4 S 0.3051 0.7526 0.7526
S5 S 0.6949 0.2474 0.2474
S6 S 0.7260 0.7260 0.7260
S7 S 0.7526 0.3051 0.7526
S8 S 0.7526 0.7526 0.3051

***

Question: Look up the total moment of the sixth one.
Answer: 0.0 Bohr magnetons per cell